The following is a GGA-PBE calculation of crystalline Pm4Sm4Y at its relaxed geometry, from Alexandria.

Cell and atoms, written as POSCAR:
```
Pm4Sm4Y
1.0
5.649 0.000 0.000
0.000 6.932 0.000
2.816 3.219 7.866
Pm Sm Y
4 4 1
direct
0.133 0.466 0.234 Pm
0.282 0.207 0.936 Pm
0.718 0.793 0.064 Pm
0.867 0.534 0.766 Pm
0.076 0.884 0.351 Sm
0.366 0.802 0.767 Sm
0.634 0.198 0.233 Sm
0.924 0.116 0.649 Sm
0.500 0.500 0.500 Y
```

Values from the calculation:
**Theoretical density**: 6.85 g cm⁻³

***

The following is a GGA-PBE calculation of crystalline PmSm6Y at its relaxed geometry, from Alexandria.

Cell and atoms, written as POSCAR:
```
PmSm6Y
1.0
5.126 0.000 0.000
0.000 5.126 0.000
0.000 0.000 10.242
Pm Sm Y
1 6 1
direct
0.000 0.000 0.000 Pm
0.000 0.500 0.251 Sm
0.000 0.500 0.749 Sm
0.500 0.000 0.251 Sm
0.500 0.000 0.749 Sm
0.500 0.500 0.000 Sm
0.500 0.500 0.500 Sm
0.000 0.000 0.500 Y
```

Values from the calculation:
**Theoretical density**: 7.01 g cm⁻³

***

The following is a GGA-PBE calculation of crystalline Pm5Sm2Y2 at its relaxed geometry, from Alexandria.

Cell and atoms, written as POSCAR:
```
Pm5Sm2Y2
1.0
-7.502 5.987 3.422
7.502 -5.987 3.422
7.502 5.987 -3.422
Pm Sm Y
10 4 4
direct
0.247 0.052 0.299 Pm
0.247 0.448 0.696 Pm
0.409 0.033 0.089 Pm
0.409 0.820 0.876 Pm
0.453 0.443 0.511 Pm
0.753 0.552 0.304 Pm
0.753 0.948 0.701 Pm
0.932 0.943 0.489 Pm
0.945 0.320 0.911 Pm
0.945 0.533 0.124 Pm
0.323 0.323 0.000 Sm
0.323 0.823 0.500 Sm
0.380 0.635 0.245 Sm
0.390 0.135 0.755 Sm
0.842 0.220 0.369 Y
0.842 0.972 0.122 Y
0.850 0.472 0.631 Y
0.850 0.720 0.878 Y
```

Values from the calculation:
**Theoretical density**: 6.50 g cm⁻³

***

The following is a GGA-PBE calculation of crystalline Pm7Sm4Y at its relaxed geometry, from Alexandria.

Cell and atoms, written as POSCAR:
```
Pm7Sm4Y
1.0
6.086 -3.035 0.000
6.086 3.035 0.000
-6.028 0.000 11.392
Pm Sm Y
7 4 1
direct
0.000 0.000 0.000 Pm
0.209 0.209 0.921 Pm
0.243 0.243 0.680 Pm
0.370 0.370 0.500 Pm
0.630 0.630 0.500 Pm
0.757 0.757 0.320 Pm
0.791 0.791 0.079 Pm
0.062 0.062 0.324 Sm
0.364 0.364 0.223 Sm
0.636 0.636 0.777 Sm
0.938 0.938 0.676 Sm
0.500 0.500 0.000 Y
```

Values from the calculation:
**Theoretical density**: 6.73 g cm⁻³

***

| no. | density of states at the Fermi level (states/eV/f.u.) | calculated formation energy (eV/atom) |
| --- | --- | --- |
| 1 | 15.3 | 0.097 |
| 2 | 13.3 | 0.018 |
| 3 | 13.9 | 0.201 |
| 4 | 18.9 | 0.250 |